1.
Material: NaYS3
Method: DFT, PBE
State: optimized geometry

a b c (Å): 5.2845 5.2845 5.2845
angles (deg): 90.00 90.00 90.00
Fractional coordinates of all 5 atoms:
Na1 0.0000 0.0000 0.0000
Y1 0.5000 0.5000 0.5000
S1 0.0000 0.5000 0.5000
S2 0.5000 0.0000 0.5000
S3 0.5000 0.5000 0.0000

Summary:
- Theoretical density: 2342 kg/m3
- Electronic total energy: -24.4 eV/cell
- Space-group type: Pm-3m (221)
- V: 148 Å³ per cell

=====

2.
Material: NaYS2
Method: DFT, PBE
State: optimized geometry

a b c (Å): 4.4584 4.4584 23.3787
angles (deg): 90.00 90.00 120.00
Fractional coordinates of all 12 atoms:
Na1 0.0000 0.0000 0.0000
Na2 0.3333 0.6667 0.6667
Na3 0.6667 0.3333 0.3333
Y1 0.0000 0.0000 0.5000
Y2 0.3333 0.6667 0.1667
Y3 0.6667 0.3333 0.8333
S1 0.0000 0.0000 0.3952
S2 0.0000 0.0000 0.6048
S3 0.3333 0.6667 0.0618
S4 0.3333 0.6667 0.2715
S5 0.6667 0.3333 0.7285
S6 0.6667 0.3333 0.9382

Summary:
- Theoretical density: 2179 kg/m3
- Electronic total energy: -54.5 eV/cell
- Space-group type: R-3m (166)
- V: 402 Å³ per cell

=====

3.
Material: NaYS2
Method: DFT, PBE
State: optimized geometry

a b c (Å): 4.0878 4.0878 24.0823
angles (deg): 90.00 90.00 120.00
Fractional coordinates of all 12 atoms:
Na1 0.0000 0.0000 0.0000
Na2 0.3333 0.6667 0.6667
Na3 0.6667 0.3333 0.3333
Y1 0.0000 0.0000 0.5000
Y2 0.3333 0.6667 0.1667
Y3 0.6667 0.3333 0.8333
S1 0.0000 0.0000 0.1068
S2 0.0000 0.0000 0.8932
S3 0.3333 0.6667 0.5599
S4 0.3333 0.6667 0.7734
S5 0.6667 0.3333 0.2266
S6 0.6667 0.3333 0.4401

Summary:
- Theoretical density: 2516 kg/m3
- Electronic total energy: -67.6 eV/cell
- Space-group type: R-3m (166)
- V: 349 Å³ per cell

=====

4.
Material: NaY5S6
Method: DFT, PBE
State: optimized geometry

a b c (Å): 6.7955 6.7955 6.8170
angles (deg): 99.59 99.59 119.95
Fractional coordinates of all 12 atoms:
Na1 0.0000 0.0000 0.0000
Y1 0.1631 0.8369 0.5000
Y2 0.3345 0.6655 0.0000
Y3 0.5000 0.5000 0.5000
Y4 0.6655 0.3345 0.0000
Y5 0.8369 0.1631 0.5000
S1 0.0835 0.4185 0.2523
S2 0.2505 0.2505 0.7532
S3 0.4185 0.0835 0.2523
S4 0.5815 0.9165 0.7477
S5 0.7495 0.7495 0.2468
S6 0.9165 0.5815 0.7477

Summary:
- Theoretical density: 4261 kg/m3
- Electronic total energy: -81.8 eV/cell
- Space-group type: C2/m (12)
- V: 257 Å³ per cell